1.
NaFeAs: relaxed, PBE.

Unit cell a=4.123 b=4.123 c=13.469 alpha=90.00 beta=90.00 gamma=120.00
Last column: magnetic moment on the atom in μB.
Atoms (fractional coordinates):
As  0.667  0.333  0.063  -0.06
As  0.333  0.667  0.390  -0.03
As  0.667  0.333  0.610  -0.03
As  0.333  0.667  0.937  -0.06
Fe  0.000  0.000  0.000  1.55
Fe  0.667  0.333  0.436  1.37
Fe  0.000  0.000  0.500  2.60
Fe  0.333  0.667  0.564  1.37
Na  0.333  0.667  0.161  0.00
Na  0.000  0.000  0.273  0.00
Na  0.000  0.000  0.727  0.00
Na  0.667  0.333  0.839  0.00

Results
Calculated density in g/cm³: 5.15
Space-group type: P-3m1
Polymorph energy (0 for the lowest one) in meV per atom: 165



2.
Gd2YCo2C2N3: relaxed, PBE.

Unit cell a=10.042 b=10.042 c=10.042 alpha=160.10 beta=160.10 gamma=28.29
Atoms (fractional coordinates):
C  0.194  0.194  0.000
C  0.806  0.806  0.000
Co  0.750  0.250  0.500
Co  0.250  0.750  0.500
Gd  0.372  0.372  0.000
Gd  0.628  0.628  0.000
N  0.121  0.121  0.000
N  0.500  0.500  0.000
N  0.879  0.879  0.000
Y  0.000  0.000  0.000

Results
Calculated density in g/cm³: 8.32
Space-group type: I4/mmm
Total DFT energy (no corrections) in eV/atom: -8.243



3.
Gd2Si5Ir3: relaxed, PBE.

Unit cell a=8.173 b=8.173 c=8.173 alpha=104.62 beta=90.26 gamma=137.98
Atoms (fractional coordinates):
Gd  0.870  0.230  0.099
Gd  0.630  0.730  0.360
Gd  0.370  0.270  0.640
Gd  0.130  0.770  0.901
Ir  0.640  0.387  0.027
Ir  0.140  0.113  0.253
Ir  0.750  0.250  0.500
Ir  0.250  0.750  0.500
Ir  0.860  0.887  0.747
Ir  0.360  0.613  0.973
Si  0.250  0.250  0.000
Si  0.750  0.750  0.000
Si  0.394  0.845  0.238
Si  0.524  0.250  0.274
Si  0.024  0.750  0.274
Si  0.106  0.345  0.451
Si  0.894  0.655  0.549
Si  0.976  0.250  0.726
Si  0.476  0.750  0.726
Si  0.606  0.155  0.762

Results
Calculated density in g/cm³: 10.15
Space-group type: Ibam
Total DFT energy (no corrections) in eV/atom: -7.284



4.
DyErZn2Sn2: relaxed, PBE.

Unit cell a=4.499 b=4.499 c=15.725 alpha=90.00 beta=90.00 gamma=120.00
Atoms (fractional coordinates):
Dy  0.000  0.000  0.250
Dy  0.000  0.000  0.750
Er  0.000  0.000  0.000
Er  0.000  0.000  0.500
Sn  0.333  0.667  0.112
Sn  0.333  0.667  0.388
Sn  0.667  0.333  0.612
Sn  0.667  0.333  0.888
Zn  0.667  0.333  0.161
Zn  0.667  0.333  0.339
Zn  0.333  0.667  0.661
Zn  0.333  0.667  0.839

Results
Calculated density in g/cm³: 8.41
Space-group type: P6_3/mmc
Polymorph energy (0 for the lowest one) in meV per atom: 4



5.
Li2CoS2: relaxed, PBE.

Unit cell a=5.086 b=5.086 c=5.086 alpha=127.97 beta=127.97 gamma=76.68
Last column: magnetic moment on the atom in μB.
Atoms (fractional coordinates):
Co  0.000  0.000  0.000  1.45
Li  0.335  0.335  0.000  0.00
Li  0.665  0.665  0.000  0.00
S  0.500  0.000  0.500  0.11
S  0.000  0.500  0.500  0.15

Results
Calculated density in g/cm³: 2.86
Space-group type: I4/mmm
Total DFT energy (no corrections) in eV/atom: -4.390



6.
Lu2Bi3Mo4C3: relaxed, PBE.

Unit cell a=5.880 b=5.880 c=14.281 alpha=97.79 beta=97.79 gamma=60.62
Atoms (fractional coordinates):
Bi  0.570  0.795  0.240
Bi  0.948  0.052  0.250
Bi  0.205  0.430  0.260
Bi  0.795  0.570  0.740
Bi  0.052  0.948  0.750
Bi  0.430  0.205  0.760
C  0.500  0.000  0.000
C  0.852  0.327  0.002
C  0.673  0.148  0.498
C  0.000  0.500  0.500
C  0.327  0.852  0.502
C  0.148  0.673  0.998
Lu  0.524  0.365  0.095
Lu  0.635  0.476  0.405
Lu  0.365  0.524  0.595
Lu  0.476  0.635  0.905
Mo  0.834  0.688  0.064
Mo  0.191  0.996  0.067
Mo  0.004  0.809  0.433
Mo  0.312  0.166  0.436
Mo  0.688  0.834  0.564
Mo  0.996  0.191  0.567
Mo  0.809  0.004  0.933
Mo  0.166  0.312  0.936

Results
Calculated density in g/cm³: 10.92
Space-group type: C2/c
Total DFT energy (no corrections) in eV/atom: -7.789



7.
MgCuAgGe: relaxed, PBE.

Unit cell a=4.541 b=4.541 c=4.541 alpha=60.00 beta=60.00 gamma=60.00
Atoms (fractional coordinates):
Ag  0.250  0.250  0.250
Cu  0.750  0.750  0.750
Ge  0.000  0.000  0.000
Mg  0.500  0.500  0.500

Results
Calculated density in g/cm³: 6.73
Space-group type: F-43m
Polymorph energy (0 for the lowest one) in meV per atom: 0



8.
ReGeNO: relaxed, PBE.

Unit cell a=2.812 b=4.718 c=6.726 alpha=90.00 beta=90.00 gamma=90.00
Last column: magnetic moment on the atom in μB.
Atoms (fractional coordinates):
Ge  0.000  0.581  0.364  0.01
Ge  0.000  0.419  0.864  0.00
N  0.000  0.712  0.089  0.00
N  0.000  0.288  0.589  0.00
O  0.500  0.246  0.270  0.01
O  0.500  0.754  0.770  0.01
Re  0.500  0.009  0.022  0.17
Re  0.500  0.990  0.522  0.16

Results
Calculated density in g/cm³: 10.75
Space-group type: Pmc2_1
Polymorph energy (0 for the lowest one) in meV per atom: 0



9.
PrPAuO: relaxed, PBE.

Unit cell a=5.999 b=5.999 c=4.638 alpha=90.00 beta=90.00 gamma=90.00
Atoms (fractional coordinates):
Au  0.000  0.500  0.012
Au  0.500  0.000  0.988
O  0.000  0.000  0.000
O  0.500  0.500  0.000
P  0.500  0.000  0.488
P  0.000  0.500  0.512
Pr  0.000  0.000  0.500
Pr  0.500  0.500  0.500

Results
Calculated density in g/cm³: 7.66
Space-group type: P4/nmm
Polymorph energy (0 for the lowest one) in meV per atom: 559



10.
FeSiSn: relaxed, PBE.

Unit cell a=4.128 b=4.128 c=4.128 alpha=60.00 beta=60.00 gamma=60.00
Atoms (fractional coordinates):
Fe  0.000  0.000  0.000
Si  0.250  0.250  0.250
Sn  0.750  0.750  0.750

Results
Calculated density in g/cm³: 6.77
Space-group type: F-43m
Total DFT energy (no corrections) in eV/atom: -5.786



11.
ZnNi10P3: relaxed, PBE.

Unit cell a=7.655 b=7.655 c=9.346 alpha=90.00 beta=90.00 gamma=120.00
Atoms (fractional coordinates):
Ni  0.183  0.817  0.066
Ni  0.183  0.365  0.066
Ni  0.635  0.817  0.066
Ni  0.667  0.333  0.097
Ni  0.860  0.140  0.205
Ni  0.860  0.720  0.205
Ni  0.280  0.140  0.205
Ni  0.491  0.509  0.241
Ni  0.491  0.983  0.241
Ni  0.017  0.509  0.241
Ni  0.000  0.000  0.379
Ni  0.333  0.667  0.386
Ni  0.341  0.341  0.500
Ni  0.341  0.000  0.500
Ni  0.000  0.341  0.500
Ni  0.000  0.659  0.500
Ni  0.659  0.000  0.500
Ni  0.659  0.659  0.500
Ni  0.667  0.333  0.614
Ni  0.000  0.000  0.621
Ni  0.983  0.491  0.759
Ni  0.509  0.017  0.759
Ni  0.509  0.491  0.759
Ni  0.720  0.860  0.795
Ni  0.140  0.860  0.795
Ni  0.140  0.280  0.795
Ni  0.333  0.667  0.903
Ni  0.365  0.183  0.934
Ni  0.817  0.183  0.934
Ni  0.817  0.635  0.934
P  0.500  0.000  0.000
P  0.000  0.500  0.000
P  0.500  0.500  0.000
P  0.670  0.835  0.309
P  0.165  0.330  0.309
P  0.165  0.835  0.309
P  0.835  0.165  0.691
P  0.835  0.670  0.691
P  0.330  0.165  0.691
Zn  0.000  0.000  0.000
Zn  0.667  0.333  0.360
Zn  0.333  0.667  0.640

Results
Calculated density in g/cm³: 7.83
Space-group type: P-3m1
Total DFT energy (no corrections) in eV/atom: -5.663



12.
RbZrNb: relaxed, PBE.

Unit cell a=5.122 b=5.122 c=5.122 alpha=60.00 beta=60.00 gamma=60.00
Atoms (fractional coordinates):
Nb  0.000  0.000  0.000
Rb  0.250  0.250  0.250
Zr  0.750  0.750  0.750

Results
Calculated density in g/cm³: 4.71
Space-group type: F-43m
Polymorph energy (0 for the lowest one) in meV per atom: 0



> The highest calculated density belongs to which entry?

Lu2Bi3Mo4C3